Run w
Compound: ZrPHCl2
Source: the Alexandria database
Functional: PBE-GGA
Structure: optimized geometry

abc: 4.7585 4.7585 3.3935
angles: 90.00 90.00 90.00
Element x y z (fractional)
P: 0.0000 0.0000 0.5000
H: 0.0000 0.0000 0.0000
Zr: 0.5000 0.5000 0.5000
Cl: 0.0000 0.5000 0.0000
Cl: 0.5000 0.0000 0.0000

***

Run x
Compound: ZrPHCl2
Source: the Alexandria database
Functional: PBE-GGA
Structure: optimized geometry

abc: 5.1316 5.1316 5.0918
angles: 90.00 90.00 90.00
Last column: magnetic moment on the atom in μB.
Element x y z (fractional)
P: 0.0000 0.0000 0.5000  0.43
H: 0.5000 0.5000 0.5000  0.38
Zr: 0.0000 0.0000 0.0000  -0.08
Cl: 0.0000 0.5000 0.0000  0.06
Cl: 0.5000 0.0000 0.0000  0.06

***

Least stable structure: run w

***

Run w
Compound: PaH2Cl6
Source: the Alexandria database
Functional: PBE-GGA
Structure: optimized geometry

abc: 6.1898 6.1898 7.8426
angles: 66.76 66.76 60.00
Last column: magnetic moment on the atom in μB.
Element x y z (fractional)
Pa: 0.3332 0.3332 0.0004  1.04
H: 0.7405 0.7405 0.7786  0.00
H: 0.5927 0.5927 0.2219  0.00
Cl: 0.7284 0.4572 0.7688  -0.01
Cl: 0.0456 0.7284 0.7688  -0.01
Cl: 0.4572 0.0456 0.7688  -0.01
Cl: 0.3028 0.5742 0.2318  -0.01
Cl: 0.8912 0.3028 0.2318  -0.01
Cl: 0.5742 0.8912 0.2318  -0.01

***

Run x
Compound: PaH2Cl6
Source: the Alexandria database
Functional: PBE-GGA
Structure: optimized geometry

abc: 6.0177 7.5320 12.3579
angles: 90.00 88.09 90.00
Last column: magnetic moment on the atom in μB.
Element x y z (fractional)
Pa: 0.5000 0.5000 0.0000  1.05
Pa: 0.0000 0.0000 0.5000  1.05
H: 0.9976 0.4413 0.8503  0.00
H: 0.5024 0.9413 0.6497  0.00
H: 0.4976 0.0587 0.3503  0.00
H: 0.0024 0.5587 0.1497  0.00
Cl: 0.2962 0.9537 0.3234  -0.01
Cl: 0.1900 0.2889 0.5480  -0.02
Cl: 0.2182 0.3193 0.8725  -0.01
Cl: 0.2818 0.8193 0.6275  -0.01
Cl: 0.3100 0.7889 0.9520  -0.02
Cl: 0.2038 0.4537 0.1766  -0.01
Cl: 0.7038 0.0463 0.6766  -0.01
Cl: 0.8100 0.7111 0.4520  -0.02
Cl: 0.7818 0.6807 0.1275  -0.01
Cl: 0.7182 0.1807 0.3725  -0.01
Cl: 0.6900 0.2111 0.0480  -0.02
Cl: 0.7962 0.5463 0.8234  -0.01

***

Least stable structure: run w

***

Run w
Compound: PaHCl
Source: the Alexandria database
Functional: PBE-GGA
Structure: optimized geometry

abc: 3.3899 3.3899 11.2707
angles: 81.35 81.35 60.00
Element x y z (fractional)
H: 0.3501 0.3501 0.9498
H: 0.6499 0.6499 0.0502
Pa: 0.2814 0.2814 0.1559
Pa: 0.7186 0.7186 0.8441
Cl: 0.8870 0.8870 0.3390
Cl: 0.1130 0.1130 0.6610

***

Run x
Compound: PaHCl
Source: the Alexandria database
Functional: PBE-GGA
Structure: optimized geometry

abc: 3.6795 3.6795 4.5318
angles: 113.95 113.95 90.00
Last column: magnetic moment on the atom in μB.
Element x y z (fractional)
H: 0.9439 0.9439 0.8878  -0.01
Pa: 0.6369 0.6369 0.2739  0.95
Cl: 0.2692 0.2692 0.5384  -0.02

***

Least stable structure: run x

***

Run w
Compound: HPb2Cl
Source: the Alexandria database
Functional: PBE-GGA
Structure: optimized geometry

abc: 5.8418 5.8418 7.8159
angles: 68.06 68.06 90.00
Element x y z (fractional)
Pb: 0.5086 0.1250 0.2500
Pb: 0.2414 0.6250 0.2500
Pb: 0.3750 0.4914 0.7500
Pb: 0.8750 0.7586 0.7500
H: 0.5000 0.5000 0.0000
H: 0.2500 0.7500 0.5000
Cl: 0.0000 0.0000 0.0000
Cl: 0.7500 0.2500 0.5000

***

Run x
Compound: HPb2Cl
Source: the Alexandria database
Functional: PBE-GGA
Structure: optimized geometry

abc: 5.1142 5.1142 5.1142
angles: 60.00 60.00 60.00
Element x y z (fractional)
Pb: 0.2500 0.2500 0.2500
Pb: 0.7500 0.7500 0.7500
H: 0.0000 0.0000 0.0000
Cl: 0.5000 0.5000 0.5000

***

Least stable structure: run x